Density functional theory data (PBE) for an optimized crystal structure of KLa2Br.

As for the space-group type: P2/m (10). The magnetization comes out at 0.0 μB per cell. The calculation puts the uncorrected energy at -13.738 eV/f.u.

Cell lengths 3.838, 6.623, 5.688 Å; angles 90.00, 92.76, 90.00 degrees
Positions (direct):
K: 0.000 0.000 0.000
La: 0.316 0.500 0.729
La: 0.684 0.500 0.271
Br: 0.500 0.000 0.500



Density functional theory data (PBE) for an optimized crystal structure of KLa2Br.

As for the space-group type: F-43m (216). The magnetization comes out at 5.0 μB per cell. The calculation puts the uncorrected energy at -11.969 eV/f.u.

Cell lengths 6.054, 6.054, 6.054 Å; angles 60.00, 60.00, 60.00 degrees
Positions (direct):
K: 0.000 0.000 0.000
La: 0.500 0.500 0.500
La: 0.750 0.750 0.750
Br: 0.250 0.250 0.250



It is found that the volume values, taken in the order of the records, are 144; 157 Å³/cell.